(w)
## PrMgInGa (PBE-GGA)

Data for a relaxed structure of PrMgInGa.

Computed properties:
Space group   Pmmm

Geometry as POSCAR:
```
PrMgInGa
1.0
4.4979 0.0000 0.0000
0.0000 4.5621 0.0000
0.0000 0.0000 4.7410
Mg Pr In Ga
1 1 1 1
Direct
0.5000 0.0000 0.5000
0.5000 0.5000 0.0000
0.0000 0.5000 0.5000
0.0000 0.0000 0.0000
```

***

(x)
## PrMgInGa (PBE-GGA)

Data for a relaxed structure of PrMgInGa.

Computed properties:
Space group   F-43m

Geometry as POSCAR:
```
PrMgInGa
1.0
5.1815 0.0000 0.0000
2.5908 4.4873 0.0000
2.5908 1.4958 4.2307
Pr In Mg Ga
1 1 1 1
Direct
0.0000 0.0000 0.0000
0.7500 0.7500 0.7500
0.5000 0.5000 0.5000
0.2500 0.2500 0.2500
```

***

Which structure is the most stable? The one labeled (w).

***

(w)
## YMgInGa (PBE-GGA)

Data for a relaxed structure of YMgInGa.

Computed properties:
Space group   F-43m

Geometry as POSCAR:
```
YMgInGa
1.0
5.0773 0.0000 0.0000
2.5386 4.3971 0.0000
2.5386 1.4657 4.1456
Y Mg In Ga
1 1 1 1
Direct
0.7500 0.7500 0.7500
0.2500 0.2500 0.2500
0.5000 0.5000 0.5000
0.0000 0.0000 0.0000
```

***

(x)
## YMgInGa (PBE-GGA)

Data for a relaxed structure of YMgInGa.

Computed properties:
Space group   Pmmm

Geometry as POSCAR:
```
YMgInGa
1.0
4.3810 0.0000 0.0000
0.0000 4.4533 0.0000
0.0000 0.0000 4.5987
Ga Mg Y In
1 1 1 1
Direct
0.5000 0.5000 0.0000
0.0000 0.5000 0.5000
0.0000 0.0000 0.0000
0.5000 0.0000 0.5000
```

***

Which structure is the most stable? The one labeled (x).

***

(w)
## Mn2InGa (PBE-GGA)

Data for a relaxed structure of Mn2InGa.

Computed properties:
Space group   P4/mmm

Geometry as POSCAR:
```
Mn2InGa
1.0
3.8537 0.0000 0.0000
0.0000 3.9862 0.0000
0.0000 0.0000 3.9862
In Mn Ga
1 2 1
Direct
0.5000 0.0000 0.0000
0.0000 0.0000 0.5000
0.0000 0.5000 0.0000
0.5000 0.5000 0.5000
```

***

(x)
## Mn2InGa (PBE-GGA)

Data for a relaxed structure of Mn2InGa.

Computed properties:
Space group   P4/mmm

Geometry as POSCAR:
```
Mn2InGa
1.0
-2.0420 0.9237 1.7483
-1.1763 -2.5876 -0.0068
4.2151 -1.9318 5.9441
In Mn Ga
1 2 1
Direct
0.5000 0.5000 0.5000
0.0000 0.0000 0.2246
0.0000 0.0000 0.7754
0.5000 0.5000 0.0000
```

***

(y)
## Mn2InGa (PBE-GGA)

Data for a relaxed structure of Mn2InGa.

Computed properties:
Space group   I-42d

Geometry as POSCAR:
```
Mn2InGa
1.0
-1.2829 6.1194 -3.3067
-6.8780 -0.6149 1.5304
-3.6737 4.1229 1.4906
Ga In Mn
2 2 4
Direct
0.5000 0.5000 0.0000
0.2500 0.7500 0.5000
0.0000 0.0000 0.0000
0.7500 0.2500 0.5000
0.8750 0.8527 0.7500
0.1473 0.6250 0.2500
0.6027 0.1250 0.2500
0.3750 0.3973 0.7500
```

***

Which structure is the most stable? The one labeled (x).

***

(w)
## InGa2N3 (PBE-GGA)

Data for a relaxed structure of InGa2N3.

Computed properties:
Space group   Cc

Geometry as POSCAR:
```
InGa2N3
1.0
-2.8889 -3.4242 3.6498
2.2549 -2.1745 -4.8558
4.8248 0.7321 3.0254
In Ga N
2 4 6
Direct
0.0983 0.9246 0.5060
0.9246 0.0983 0.0060
0.4278 0.5932 0.5072
0.7586 0.2674 0.5077
0.2674 0.7586 0.0077
0.5932 0.4278 0.0072
0.2490 0.0559 0.9021
0.0559 0.2490 0.4021
0.4121 0.8833 0.3753
0.5309 0.6940 0.8730
0.6940 0.5309 0.3730
0.8833 0.4121 0.8753
```

***

(x)
## InGa2N3 (PBE-GGA)

Data for a relaxed structure of InGa2N3.

Computed properties:
Space group   Cmc2_1

Geometry as POSCAR:
```
InGa2N3
1.0
-4.8998 1.8136 -2.4790
0.2633 -5.2678 2.3620
-1.6355 2.0353 4.7216
N In Ga
6 2 4
Direct
0.6395 0.6663 0.3589
0.0000 0.3074 0.3954
0.3605 0.3337 0.8589
0.3605 0.0268 0.3589
0.0000 0.6926 0.8954
0.6395 0.9732 0.8589
0.0000 0.3252 0.9897
0.0000 0.6748 0.4897
0.3409 0.3339 0.4926
0.6591 0.6661 0.9926
0.6591 0.9929 0.4926
0.3409 0.0071 0.9926
```

***

Which structure is the most stable? The one labeled (x).

***

(w)
## InGa2N (PBE-GGA)

Data for a relaxed structure of InGa2N.

Computed properties:
Space group   I-42d

Geometry as POSCAR:
```
InGa2N
1.0
5.7435 0.0000 0.0000
0.0000 5.7435 0.0000
2.8718 2.8718 4.6493
Ga N In
4 2 2
Direct
0.3750 0.4803 0.7500
0.5197 0.1250 0.2500
0.2303 0.6250 0.2500
0.8750 0.7697 0.7500
0.5000 0.5000 0.0000
0.2500 0.7500 0.5000
0.0000 0.0000 0.0000
0.7500 0.2500 0.5000
```

***

(x)
## InGa2N (PBE-GGA)

Data for a relaxed structure of InGa2N.

Computed properties:
Space group   Fm-3m

Geometry as POSCAR:
```
InGa2N
1.0
-0.2787 -1.6717 4.3491
0.7158 2.8332 3.6397
-3.5722 1.2209 2.7451
In Ga N
1 2 1
Direct
0.5000 0.5000 0.5000
0.2500 0.2500 0.2500
0.7500 0.7500 0.7500
0.0000 0.0000 0.0000
```

***

Which structure is the most stable? The one labeled (w).

***

(w)
## InGaS2N (PBE-GGA)

Data for a relaxed structure of InGaS2N.

Computed properties:
Space group   P4/mmm

Geometry as POSCAR:
```
InGaS2N
1.0
-2.6006 4.0833 1.0686
-2.5152 -0.4912 -4.2439
-2.5549 -2.0867 1.7557
N Ga In S
1 1 1 2
Direct
0.0000 0.0000 0.5000
0.0000 0.0000 0.0000
0.5000 0.5000 0.5000
0.0000 0.5000 0.0000
0.5000 0.0000 0.0000
```

***

(x)
## InGaS2N (PBE-GGA)

Data for a relaxed structure of InGaS2N.

Computed properties:
Space group   P4/mmm

Geometry as POSCAR:
```
InGaS2N
1.0
5.2468 0.0000 0.0000
0.0000 5.2468 0.0000
0.0000 0.0000 4.1676
N S In Ga
1 2 1 1
Direct
0.0000 0.0000 0.5000
0.0000 0.5000 0.0000
0.5000 0.0000 0.0000
0.0000 0.0000 0.0000
0.5000 0.5000 0.5000
```

***

Which structure is the most stable? The one labeled (w).

***

(w)
## InGaSN2 (PBE-GGA)

Data for a relaxed structure of InGaSN2.

Computed properties:
Space group   P4/mmm

Geometry as POSCAR:
```
InGaSN2
1.0
-2.9066 2.4562 -0.6755
-2.5096 -2.5854 1.3981
0.6154 2.0999 4.9878
N In Ga S
2 1 1 1
Direct
0.5000 0.0000 0.0000
0.0000 0.5000 0.0000
0.5000 0.5000 0.5000
0.0000 0.0000 0.0000
0.0000 0.0000 0.5000
```

***

(x)
## InGaSN2 (PBE-GGA)

Data for a relaxed structure of InGaSN2.

Computed properties:
Space group   P4/mmm

Geometry as POSCAR:
```
InGaSN2
1.0
-2.5405 2.9777 -1.7787
-3.0761 -2.9530 -0.5498
-2.0105 1.1891 4.8622
N S In Ga
2 1 1 1
Direct
0.0000 0.5000 0.0000
0.5000 0.0000 0.0000
0.0000 0.0000 0.5000
0.0000 0.0000 0.0000
0.5000 0.5000 0.5000
```

***

Which structure is the most stable? The one labeled (w).

***

(w)
## InGaSeN2 (PBE-GGA)

Data for a relaxed structure of InGaSeN2.

Computed properties:
Space group   P4/mmm

Geometry as POSCAR:
```
InGaSeN2
1.0
-0.7176 -1.1559 3.6493
0.4988 -3.7095 -1.0769
5.7377 0.4067 1.2570
N In Se Ga
2 1 1 1
Direct
0.5000 0.0000 0.0000
0.0000 0.5000 0.0000
0.5000 0.5000 0.5000
0.0000 0.0000 0.5000
0.0000 0.0000 0.0000
```

***

(x)
## InGaSeN2 (PBE-GGA)

Data for a relaxed structure of InGaSeN2.

Computed properties:
Space group   P4/mmm

Geometry as POSCAR:
```
InGaSeN2
1.0
-2.4064 -1.0416 3.3485
0.0428 -4.0695 -1.2350
4.7911 -0.9087 3.1605
In Ga Se N
1 1 1 2
Direct
0.0000 0.0000 0.0000
0.5000 0.5000 0.5000
0.0000 0.0000 0.5000
0.0000 0.5000 0.0000
0.5000 0.0000 0.0000
```

***

Which structure is the most stable? The one labeled (w).

***

(w)
## InGaTeN2 (PBE-GGA)

Data for a relaxed structure of InGaTeN2.

Computed properties:
Space group   P4/mmm

Geometry as POSCAR:
```
InGaTeN2
1.0
-0.5784 3.2945 -2.4487
-5.3715 -1.1540 -0.2839
-0.6836 2.3611 3.3381
Ga N Te In
1 2 1 1
Direct
0.0000 0.5000 0.0000
0.5000 0.0000 0.0000
0.0000 0.0000 0.5000
0.0000 0.0000 0.0000
0.5000 0.5000 0.5000
```

***

(x)
## InGaTeN2 (PBE-GGA)

Data for a relaxed structure of InGaTeN2.

Computed properties:
Space group   P4/mmm

Geometry as POSCAR:
```
InGaTeN2
1.0
-3.3608 -1.4476 -2.2691
2.5139 -0.3915 -3.4736
1.3880 -5.8265 1.6613
N Te Ga In
2 1 1 1
Direct
0.5000 0.0000 0.0000
0.0000 0.5000 0.0000
0.0000 0.0000 0.5000
0.5000 0.5000 0.5000
0.0000 0.0000 0.0000
```

***

(y)
## InGaTeN2 (PBE-GGA)

Data for a relaxed structure of InGaTeN2.

Computed properties:
Space group   P4/mmm

Geometry as POSCAR:
```
InGaTeN2
1.0
-0.3680 -3.7722 1.5672
3.8257 -0.8698 -1.1953
2.0415 1.9315 5.1286
In N Ga Te
1 2 1 1
Direct
0.5000 0.5000 0.5000
0.5000 0.0000 0.0000
0.0000 0.5000 0.0000
0.0000 0.0000 0.0000
0.0000 0.0000 0.5000
```

***

Which structure is the most stable? The one labeled (y).

***

(w)
## Na2In2Ga (PBE-GGA)

Data for a relaxed structure of Na2In2Ga.

Computed properties:
Space group   Ibam

Geometry as POSCAR:
```
Na2In2Ga
1.0
5.6264 0.0000 0.0000
0.0000 6.5447 0.0000
-2.8132 -3.2723 7.2727
In Ga Na
4 2 4
Direct
0.3242 0.4636 0.6485
0.6758 0.5364 0.3515
0.1758 0.8152 0.3515
0.8242 0.1848 0.6485
0.7500 0.5000 0.0000
0.2500 0.5000 0.0000
0.1024 0.2391 0.2049
0.8976 0.7609 0.7951
0.3976 0.0342 0.7951
0.6024 0.9658 0.2049
```

***

(x)
## Na2In2Ga (PBE-GGA)

Data for a relaxed structure of Na2In2Ga.

Computed properties:
Space group   I4/mmm

Geometry as POSCAR:
```
Na2In2Ga
1.0
4.1921 0.0000 0.0000
0.0000 4.1921 0.0000
2.0961 2.0961 7.6899
Ga In Na
1 2 2
Direct
0.0000 0.0000 0.0000
0.4073 0.4073 0.1854
0.5927 0.5927 0.8146
0.2500 0.7500 0.5000
0.7500 0.2500 0.5000
```

***

(y)
## Na2In2Ga (PBE-GGA)

Data for a relaxed structure of Na2In2Ga.

Computed properties:
Space group   P4/mbm

Geometry as POSCAR:
```
Na2In2Ga
1.0
-8.1650 3.1722 0.5091
-2.9475 -6.8429 -4.6342
-0.5115 -1.7937 2.9739
Na In Ga
4 4 2
Direct
0.3656 0.8656 0.0000
0.8656 0.6344 0.0000
0.6344 0.1344 0.0000
0.1344 0.3656 0.0000
0.3345 0.1655 0.5000
0.8345 0.3345 0.5000
0.1655 0.6655 0.5000
0.6655 0.8345 0.5000
0.0000 0.0000 0.0000
0.5000 0.5000 0.0000
```

***

Which structure is the most stable? The one labeled (w).

***

(w)
## NaIn6Ga (PBE-GGA)

Data for a relaxed structure of NaIn6Ga.

Computed properties:
Space group   R-3m

Geometry as POSCAR:
```
NaIn6Ga
1.0
6.5054 -0.9580 -1.0836
-1.6627 6.3619 -1.0836
-1.6627 -1.8554 6.1810
In Na Ga
6 1 1
Direct
0.2527 0.2527 0.7259
0.2741 0.7473 0.7473
0.7473 0.2741 0.7473
0.2527 0.7259 0.2527
0.7473 0.7473 0.2741
0.7259 0.2527 0.2527
0.0000 0.0000 0.0000
0.5000 0.5000 0.5000
```

***

(x)
## NaIn6Ga (PBE-GGA)

Data for a relaxed structure of NaIn6Ga.

Computed properties:
Space group   P4/mmm

Geometry as POSCAR:
```
NaIn6Ga
1.0
4.6286 0.0000 0.0000
0.0000 4.6286 0.0000
0.0000 0.0000 9.6150
Na Ga In
1 1 6
Direct
0.0000 0.0000 0.0000
0.0000 0.0000 0.5000
0.0000 0.5000 0.7449
0.5000 0.0000 0.2551
0.5000 0.5000 0.0000
0.5000 0.5000 0.5000
0.0000 0.5000 0.2551
0.5000 0.0000 0.7449
```

***

Which structure is the most stable? The one labeled (x).

***

(w)
## NaIn2Ga4 (PBE-GGA)

Data for a relaxed structure of NaIn2Ga4.

Computed properties:
Space group   Immm

Geometry as POSCAR:
```
NaIn2Ga4
1.0
4.2341 0.0000 -0.9654
-0.2330 4.3742 -1.0219
-0.2051 -0.2518 8.8686
Ga In Na
4 2 1
Direct
0.0750 0.5750 0.1500
0.6571 0.6571 0.3143
0.3429 0.3429 0.6857
0.9250 0.4250 0.8500
0.1797 0.1797 0.3593
0.8203 0.8203 0.6407
0.5000 0.0000 0.0000
```

***

(x)
## NaIn2Ga4 (PBE-GGA)

Data for a relaxed structure of NaIn2Ga4.

Computed properties:
Space group   Cmmm

Geometry as POSCAR:
```
NaIn2Ga4
1.0
4.0841 0.0000 0.0000
0.0000 4.9015 0.0000
0.0000 -2.4507 8.2392
In Ga Na
2 4 1
Direct
0.5000 0.4119 0.8238
0.5000 0.5881 0.1762
0.0000 0.7089 0.4178
0.5000 0.8186 0.6371
0.0000 0.2911 0.5822
0.5000 0.1814 0.3629
0.0000 0.0000 0.0000
```

***

Which structure is the most stable? The one labeled (w).